# 1
VASP calculation (SCAN) on AlTl2As at its PBEsol-relaxed geometry.

Geometry as POSCAR:
```
AlTl2As
1.0
-2.350 2.350 4.275
2.350 -2.350 4.275
2.350 2.350 -4.275
Al Tl As
1 2 1
Direct
0.000 0.000 0.000 Al
0.250 0.750 0.500 Tl
0.500 0.500 0.000 Tl
0.750 0.250 0.500 As
```

Output
E_form = 1.20 eV per formula unit
Fermi-level density of states = 0.35 states/eV/atom
Symmetry = No. 119
DFT total energy = -42.87 eV per atom



# 2
VASP calculation (SCAN) on ScTc2Ir at its PBEsol-relaxed geometry.

Geometry as POSCAR:
```
ScTc2Ir
1.0
4.573 -1.397 0.000
4.573 1.397 0.000
-0.894 0.000 4.746
Sc Tc Ir
1 2 1
Direct
0.000 0.000 0.000 Sc
0.228 0.228 0.677 Tc
0.484 0.484 0.501 Tc
0.752 0.752 0.203 Ir
```

Output
E_form = -0.79 eV per formula unit
Fermi-level density of states = 0.89 states/eV/atom
Symmetry = No. 8
DFT total energy = -39.06 eV per atom



# 3
VASP calculation (SCAN) on TlCuSe2 at its PBEsol-relaxed geometry.

Geometry as POSCAR:
```
TlCuSe2
1.0
-2.922 2.922 5.884
2.922 -2.922 5.884
2.922 2.922 -5.884
Tl Cu Se
2 2 4
Direct
0.000 0.000 0.000 Tl
0.750 0.250 0.500 Tl
0.250 0.750 0.500 Cu
0.500 0.500 0.000 Cu
0.174 0.625 0.049 Se
0.375 0.424 0.549 Se
0.576 0.125 0.951 Se
0.875 0.826 0.451 Se
```

Output
Formation energy from raw total energies = -0.25 eV/atom
Fermi-level density of states = 0.07 states/eV/atom
Symmetry = No. 122
DFT total energy = -32.18 eV per atom



# 4
VASP calculation (SCAN) on Y2MnMo at its PBEsol-relaxed geometry.

Geometry as POSCAR:
```
Y2MnMo
1.0
-1.662 2.459 4.988
1.662 -2.459 4.988
1.662 2.459 -4.988
Y Mn Mo
2 1 1
Direct
0.000 0.000 0.000 Y
0.716 0.216 0.500 Y
0.265 0.765 0.500 Mn
0.423 0.423 0.000 Mo
```

Output
E_form = 1.03 eV per formula unit
Fermi-level density of states = 0.78 states/eV/atom
Symmetry = No. 44
DFT total energy = -26.95 eV per atom